# 1
The following is a DFT calculation (PBE-GGA) of a relaxed structure of Sr4Y3.

Output
Energy of formation, kJ per mole of atoms: 18.4
Density of states at the Fermi level, states/eV per cell: 13.0

Cell: 6.9730 6.9730 7.4074 Å, 90.00 90.00 120.00°
Space group P6/mmm (No. 191)
Asymmetric unit:
Sr (0.0000, 0.0000, 0.2468)
Sr (0.3333, 0.6667, 0.5000)
Y (0.0000, 0.5000, 0.0000)



# 2
The following is a DFT calculation (PBE-GGA) of a relaxed structure of CrTc2Ru.

Output
Energy of formation, kJ per mole of atoms: 25.2
Offset from the most stable computed form, eV per atom: 0.155
Density of states at the Fermi level, states/eV per cell: 28.6

Cell: 6.100 6.100 6.100 Å, 90.00 90.00 90.00°
Space group F-43m (No. 216)
Asymmetric unit:
Cr (0.000, 0.000, 0.000)
Tc (0.000, 0.000, 0.500)
Tc (0.250, 0.250, 0.750)
Ru (0.250, 0.250, 0.250)



# 3
The following is a DFT calculation (PBE-GGA) of a relaxed structure of Er2Co3Tc.

Output
Energy of formation, kJ per mole of atoms: -20.0
Density of states at the Fermi level, states/eV per cell: 18.2

Cell: 5.1628 5.1628 8.1293 Å, 90.00 90.00 120.00°
Space group P6_3/mmc (No. 194)
Asymmetric unit:
Er (0.3333, 0.6667, 0.0632)
Co (0.1679, 0.3359, 0.7500)
Tc (0.0000, 0.0000, 0.0000)



# 4
The following is a DFT calculation (PBE-GGA) of a relaxed structure of Dy7Ho3Tl.

Output
Energy of formation, kJ per mole of atoms: 14.4
Density of states at the Fermi level, states/eV per cell: 16.0

Cell: 6.9449 6.9449 8.4836 Å, 90.00 90.00 120.00°
Space group P3m1 (No. 156)
Asymmetric unit:
Dy (0.0000, 0.0000, 0.0000)
Dy (0.1635, 0.3270, 0.3357)
Dy (0.5013, 0.0025, 0.0103)
Ho (0.3308, 0.1654, 0.6726)
Tl (0.6667, 0.3333, 0.3401)